## AlAsOsS2 (PBE)

Data for a relaxed structure of AlAsOsS2. Values from VASP.

Cell and atoms, written as Quantum ESPRESSO input:
```
&SYSTEM
  ibrav = 0, nat = 5, ntyp = 4
/
ATOMIC_SPECIES
S 32.06 S.upf
As 74.92 As.upf
Al 26.98 Al.upf
Os 190.23 Os.upf
ATOMIC_POSITIONS crystal
S 0.5000 0.0000 0.0000
S 0.0000 0.0000 0.5000
As 0.0000 0.5000 0.0000
Al 0.5000 0.5000 0.5000
Os 0.0000 0.0000 0.0000
CELL_PARAMETERS angstrom
-3.7185 1.1113 -2.1249
-2.9505 -0.9501 4.6662
0.5652 4.2165 1.2160
```

The uncorrected formation energy is 530.5 meV per atom. The calculated volume is 21.9 Å³ per atom. The total DFT energy (no corrections) comes out at -0.18540 Ha/atom.